Density functional theory data (PBE+U) for an optimized crystal structure of FeRuI2O.

Calculated values
- Size of the total moment: 4.2 μB/f.u.
- DOS(E_F): 4.75 states/eV/cell
- Energy above the lowest structure with this stoichiometry: 0 kJ/mol of formula units

a = 5.5830 Å, b = 5.5830 Å, c = 3.7596 Å
α = 90.00°, β = 90.00°, γ = 90.00°
Space group P4/mmm (No. 123)
Symmetry-distinct sites (fractional):
Fe  0.0000  0.0000  0.0000 x1
Ru  0.5000  0.5000  0.5000 x1
I  0.0000  0.5000  0.5000 x2
O  0.5000  0.5000  0.0000 x1